Density functional theory data (PBE+U) for NaErMnO3 after structural relaxation.

Cell and atoms, written as POSCAR:
```
NaErMnO3
1.0
3.516 0.000 0.000
-1.758 6.511 0.000
0.000 0.000 8.907
O Er Mn Na
6 2 2 2
Direct
0.391 0.781 0.530
0.609 0.219 0.470
0.391 0.781 0.970
0.987 0.974 0.250
0.609 0.219 0.030
0.013 0.026 0.750
0.000 0.000 0.500
0.000 0.000 0.000
0.601 0.202 0.250
0.399 0.798 0.750
0.647 0.294 0.750
0.353 0.706 0.250
```

Computed properties:
Total DFT energy (no corrections) (eV/atom): -6.92